A plane-wave DFT calculation with GGA-PBE was carried out for a relaxed Sr2TcSb crystal.

Geometry as POSCAR:
```
Sr2TcSb
1.0
-2.443 3.288 -1.882
-3.833 -2.916 -0.119
-3.504 0.413 5.270
Sb Sr Tc
1 2 1
Direct
0.500 0.567 0.740
0.000 0.983 0.909
0.500 0.268 0.339
0.000 0.681 0.512
```

Symmetry ... Amm2
Energy relative to the elements, uncorrected ... -0.1 eV/f.u.
DOS at the Fermi energy ... 4.020 states/eV per cell
E ... -4.493 eV/atom